# 1
PBE PrMg, optimized geometry; energy above the lowest structure with this stoichiometry = 107 meV/atom; crystal system = orthorhombic; total magnetic moment = 0.1 μB/cell; total energy = -25.37 eV for the cell shown
1.0
5.2406 0.0000 0.0000
0.0000 8.6265 0.0000
0.0000 0.0000 5.2331
Pr Mg
4 4
Direct
0.9188 0.7327 0.5000
0.4168 0.0000 0.5000
0.9155 0.0000 0.0000
0.9188 0.2673 0.5000
0.4153 0.7188 0.0000
0.4190 0.5000 0.5000
0.9137 0.5000 0.0000
0.4153 0.2812 0.0000

=====

# 2
PBE Rb2CdCuCl6, optimized geometry; crystal system = cubic; total energy = -30.00 eV for the cell shown
1.0
0.0000 5.0506 5.0506
5.0506 0.0000 5.0506
5.0506 5.0506 0.0000
Rb Cl Cu Cd
2 6 1 1
Direct
0.2500 0.2500 0.2500
0.7500 0.7500 0.7500
0.2410 0.7590 0.2410
0.7590 0.7590 0.2410
0.2410 0.2410 0.7590
0.7590 0.2410 0.7590
0.7590 0.2410 0.2410
0.2410 0.7590 0.7590
0.0000 0.0000 0.0000
0.5000 0.5000 0.5000

=====

# 3
PBE Hf4CoN3, optimized geometry; crystal system = hexagonal; total magnetic moment = 0.8 μB/cell; total energy = -165.00 eV for the cell shown
1.0
3.1853 0.0000 0.0000
-1.5927 2.7586 0.0000
0.0000 0.0000 23.4422
Co Hf N
2 8 6
Direct
0.6667 0.3333 0.7500
0.3333 0.6667 0.2500
0.0000 0.0000 0.3304
0.0000 0.0000 0.8304
0.0000 0.0000 0.1696
0.3333 0.6667 0.4436
0.0000 0.0000 0.6696
0.6667 0.3333 0.5564
0.6667 0.3333 0.9436
0.3333 0.6667 0.0564
0.0000 0.0000 0.0000
0.6667 0.3333 0.3885
0.0000 0.0000 0.5000
0.3333 0.6667 0.6115
0.6667 0.3333 0.1115
0.3333 0.6667 0.8885

=====

Number 1 is which compound?
PrMg

=====

Number 3 is which compound?
Hf4CoN3